(1)
A plane-wave DFT calculation with PBE was carried out for an optimized crystal structure of Pm3Ho3In.

extended XYZ file:
```
28
Lattice="13.4324 0.0000 0.0000 0.0000 5.2296 0.0000 0.0000 0.0000 12.7319" Properties=species:S:1:pos:R:3 pbc="T T T"
Pm 1.2073 1.3074 2.4144
Pm 2.3672 3.9222 9.8092
Pm 2.5340 3.9222 4.8173
Pm 4.1822 1.3074 11.1832
Pm 4.3490 1.3074 3.4432
Pm 5.5089 3.9222 8.7803
Pm 7.9236 1.3074 3.9515
Pm 9.0834 3.9222 9.2886
Pm 9.2502 3.9222 1.5487
Pm 10.8984 1.3074 7.9146
Pm 11.0652 1.3074 2.9227
Pm 12.2251 3.9222 10.3175
Ho 0.2711 1.3074 5.5058
Ho 0.7101 1.3074 11.8219
Ho 3.0326 3.9222 0.7779
Ho 3.6836 1.3074 7.1438
Ho 6.0061 3.9222 5.4560
Ho 6.4452 3.9222 11.8717
Ho 6.9873 1.3074 0.8602
Ho 7.4263 1.3074 7.2759
Ho 9.7488 3.9222 5.5880
Ho 10.3998 1.3074 11.9540
Ho 12.7223 3.9222 0.9099
Ho 13.1614 3.9222 7.2261
In 0.7051 1.3074 8.6874
In 6.0111 3.9222 2.3215
In 7.4213 1.3074 10.4104
In 12.7273 3.9222 4.0445
```

## Properties
Calculated formation energy: -0.018 eV/atom
Volume: 894.4 Å³/cell
Space-group type: No. 62
E_tot: -123.39 eV/cell
Excess energy over the best structure of this formula in the dataset: 95.6 meV/atom

=====

(2)
A plane-wave DFT calculation with PBE was carried out for an optimized crystal structure of ZnSiSe.

extended XYZ file:
```
3
Lattice="2.9490 0.0000 0.0000 -1.4745 2.5539 0.0000 0.0000 0.0000 7.7366" Properties=species:S:1:pos:R:3 pbc="T T T"
Zn 0.0000 0.0000 0.0000
Si 0.0000 1.7026 5.6386
Se 1.4745 0.8513 2.1493
```

## Properties
E_form (uncorrected): 444.7 meV per atom
Volume: 58.3 Å³/cell
Space-group type: No. 156
E_tot: -8.85 eV/cell
Excess energy over the best structure of this formula in the dataset: 153.8 meV/atom

=====

(3)
A plane-wave DFT calculation with PBE was carried out for an optimized crystal structure of TbHoTlGe.

extended XYZ file:
```
16
Lattice="7.3805 0.0000 0.0000 0.0000 7.3805 0.0000 0.0000 0.0000 7.3805" Properties=species:S:1:pos:R:3 pbc="T T T"
Tb 0.0000 0.0000 0.0000
Tb 0.0000 3.6902 3.6902
Tb 3.6902 0.0000 3.6902
Tb 3.6902 3.6902 0.0000
Ho 0.0000 0.0000 3.6902
Ho 0.0000 3.6902 0.0000
Ho 3.6902 0.0000 0.0000
Ho 3.6902 3.6902 3.6902
Tl 1.8451 1.8451 5.5354
Tl 1.8451 5.5354 1.8451
Tl 5.5354 1.8451 1.8451
Tl 5.5354 5.5354 5.5354
Ge 1.8451 1.8451 1.8451
Ge 1.8451 5.5354 5.5354
Ge 5.5354 1.8451 5.5354
Ge 5.5354 5.5354 1.8451
```

## Properties
Calculated formation energy: -0.424 eV/atom
Volume: 402.0 Å³/cell
Space-group type: No. 216
E_tot: -71.55 eV/cell

=====

(4)
A plane-wave DFT calculation with PBE was carried out for an optimized crystal structure of TlVSeBr2.

extended XYZ file:
```
5
Lattice="5.5817 0.0000 0.0000 0.0000 5.5817 0.0000 0.0000 0.0000 5.4633" Properties=species:S:1:pos:R:3 pbc="T T T"
Tl 0.0000 0.0000 0.0000
V 2.7908 2.7908 2.7317
Se 0.0000 0.0000 2.7317
Br 0.0000 2.7908 0.0000
Br 2.7908 0.0000 0.0000
```

## Properties
E_form (uncorrected): 467.8 meV per atom
Volume: 170.2 Å³/cell
Space-group type: No. 123
E_tot: -15.98 eV/cell
Excess energy over the best structure of this formula in the dataset: 1057.6 meV/atom

=====

(5)
A plane-wave DFT calculation with PBE was carried out for an optimized crystal structure of NbTlGa2.

extended XYZ file:
```
16
Lattice="6.8625 0.0000 0.0000 0.0000 6.8625 0.0000 0.0000 0.0000 6.8625" Properties=species:S:1:pos:R:3 pbc="T T T"
Nb 0.0000 0.0000 0.0000
Nb 0.0000 3.4313 3.4313
Nb 3.4313 0.0000 3.4313
Nb 3.4313 3.4313 0.0000
Tl 0.0000 0.0000 3.4313
Tl 0.0000 3.4313 0.0000
Tl 3.4313 0.0000 0.0000
Tl 3.4313 3.4313 3.4313
Ga 1.7156 1.7156 1.7156
Ga 1.7156 1.7156 5.1469
Ga 1.7156 5.1469 1.7156
Ga 1.7156 5.1469 5.1469
Ga 5.1469 1.7156 1.7156
Ga 5.1469 1.7156 5.1469
Ga 5.1469 5.1469 1.7156
Ga 5.1469 5.1469 5.1469
```

## Properties
Calculated formation energy: 0.494 eV/atom
Volume: 323.2 Å³/cell
Space-group type: No. 225
E_tot: -66.05 eV/cell
Excess energy over the best structure of this formula in the dataset: 102.0 meV/atom

=====

(6)
A plane-wave DFT calculation with PBE was carried out for an optimized crystal structure of NaTcP.

extended XYZ file:
```
6
Lattice="3.9648 0.0000 0.0000 0.0000 3.9648 0.0000 0.0000 0.0000 6.9656" Properties=species:S:1:pos:R:3 pbc="T T T"
Na 0.9912 0.9912 0.9716
Na 2.9736 2.9736 5.9939
Tc 0.9912 2.9736 3.4828
Tc 2.9736 0.9912 3.4828
P 0.9912 0.9912 4.8623
P 2.9736 2.9736 2.1033
```

## Properties
Calculated formation energy: -0.410 eV/atom
Volume: 109.5 Å³/cell
Space-group type: No. 129
E_tot: -36.65 eV/cell
Excess energy over the best structure of this formula in the dataset: 0.0 meV/atom

=====

(7)
A plane-wave DFT calculation with PBE was carried out for an optimized crystal structure of Nb2Ir3Os3.

extended XYZ file:
```
8
Lattice="3.9235 0.0000 0.0000 0.0000 3.9317 0.0000 0.0000 0.0000 7.8527" Properties=species:S:1:pos:R:3 pbc="T T T"
Nb 0.0000 0.0000 1.9563
Nb 0.0000 0.0000 5.8964
Ir 0.0000 1.9658 3.9263
Ir 1.9617 1.9658 1.9655
Ir 1.9617 1.9658 5.8872
Os 0.0000 1.9658 0.0000
Os 1.9617 0.0000 0.0000
Os 1.9617 0.0000 3.9263
```

## Properties
Calculated formation energy: -0.347 eV/atom
Volume: 121.1 Å³/cell
Space-group type: No. 47
E_tot: -83.19 eV/cell

=====

(8)
A plane-wave DFT calculation with PBE was carried out for an optimized crystal structure of Tb7Al5Bi.

extended XYZ file:
```
13
Lattice="-3.0843 5.1867 5.2867 3.0843 -5.1867 5.2867 3.0843 5.1867 -5.2867" Properties=species:S:1:pos:R:3 pbc="T T T"
Tb 0.0000 0.0000 0.0000
Tb 3.0843 1.8646 0.9218
Tb 0.0000 0.0000 3.9449
Tb 0.0000 3.4134 0.8166
Tb 0.0000 6.9601 0.8166
Tb 0.0000 5.1867 3.4357
Tb 0.0000 3.3221 6.2085
Al 1.4309 2.6133 -1.6941
Al 1.6534 -2.5734 3.5927
Al 3.0843 0.0000 3.4712
Al 1.4309 7.7602 -1.6941
Al 1.6534 2.5734 3.5927
Bi 0.0000 0.0000 7.1889
```

## Properties
Calculated formation energy: -0.266 eV/atom
Volume: 338.3 Å³/cell
Space-group type: No. 44
E_tot: -58.47 eV/cell